Record 1
Below is a relaxed KSc4Ga3O12 crystal, with properties calculated at the PBE level.

Computed properties:
ΔE_f (raw) = -2.3872 eV per atom
DFT total energy = -7.14 eV per atom
N(E_F) = 9.45 states/eV/cell

Unit cell a=6.776 b=6.776 c=6.776 alpha=109.47 beta=109.47 gamma=109.47
Atoms (fractional coordinates):
O 0.830 0.154 0.323
O 0.677 0.830 0.507
Sc 0.000 0.000 0.500
O 0.846 0.677 0.170
O 0.677 0.170 0.846
Sc 0.500 0.000 0.000
Sc 0.500 0.500 0.500
O 0.323 0.170 0.493
O 0.170 0.493 0.323
O 0.170 0.846 0.677
O 0.493 0.323 0.170
Ga 0.000 0.500 0.500
O 0.830 0.507 0.677
O 0.323 0.830 0.154
O 0.507 0.677 0.830
Sc 0.000 0.500 0.000
Ga 0.500 0.000 0.500
Ga 0.500 0.500 0.000
O 0.154 0.323 0.830
K 0.000 0.000 0.000

=====

Record 2
Below is a relaxed Ca3Tl12Cd crystal, with properties calculated at the PBE level.

Computed properties:
DFT formation energy = -3.49 kcal/mol of atoms
DFT total energy = -2.36 eV per atom
N(E_F) = 11.20 states/eV/cell

Unit cell a=4.933 b=4.933 c=18.960 alpha=90.00 beta=90.00 gamma=90.00
Atoms (fractional coordinates):
Tl 0.500 0.500 0.000
Tl 0.000 0.500 0.879
Tl 0.500 0.000 0.625
Tl 0.500 0.000 0.879
Tl 0.500 0.000 0.121
Tl 0.000 0.500 0.375
Tl 0.500 0.500 0.749
Ca 0.000 0.000 0.500
Tl 0.500 0.500 0.500
Tl 0.500 0.500 0.251
Ca 0.000 0.000 0.251
Ca 0.000 0.000 0.749
Tl 0.000 0.500 0.121
Cd 0.000 0.000 0.000
Tl 0.000 0.500 0.625
Tl 0.500 0.000 0.375

=====

Record 3
Below is a relaxed PmGa2Si crystal, with properties calculated at the PBE level.

Computed properties:
ΔE_f (raw) = -0.4192 eV per atom
DFT total energy = -4.48 eV per atom
N(E_F) = 2.55 states/eV/cell

Unit cell a=4.211 b=4.491 c=8.904 alpha=101.89 beta=90.00 gamma=90.00
Atoms (fractional coordinates):
Pm 0.750 0.419 0.795
Ga 0.250 0.247 0.507
Ga 0.250 0.032 0.932
Si 0.750 0.182 0.343
Ga 0.750 0.753 0.493
Si 0.250 0.818 0.657
Ga 0.750 0.968 0.068
Pm 0.250 0.581 0.205

=====

Record 4
Below is a relaxed In2NiPt crystal, with properties calculated at the PBE level.

Computed properties:
DFT formation energy = -2.26 kcal/mol of atoms
DFT total energy = -4.42 eV per atom
N(E_F) = 1.39 states/eV/cell

Unit cell a=4.589 b=4.589 c=5.402 alpha=78.83 beta=78.83 gamma=39.59
Atoms (fractional coordinates):
Ni 0.750 0.750 0.750
Pt 0.250 0.250 0.250
In 0.005 0.005 0.990
In 0.495 0.495 0.510

=====

Q: DFT total energy of number 3 (PmGa2Si)?
A: -4.48 eV per atom